A plane-wave DFT calculation with PBE was carried out for crystalline Li2ZnGa6 at its relaxed geometry.

It has space group C2/m (No. 12), with a = 7.835 Å, b = 7.667 Å, c = 5.288 Å, α = 90.00°, β = 97.68° and γ = 90.00°. The inequivalent atoms are Li at (0.174, 0.000, 0.164), Zn at (0.000, 0.500, 0.500), Ga at (0.000, 0.330, 0.000) and Ga at (0.165, 0.170, 0.664).

The value obtained for the energy above the most stable polymorph in this dataset is 0.0 meV per atom. The calculation puts the formation energy at -0.121 eV per atom.